[1]
The following is a DFT calculation (GGA-PBE) of a geometry-optimized CsK2TlHg2 structure.

a = 5.3545 Å, b = 9.1936 Å, c = 10.4988 Å
α = 90.00°, β = 90.00°, γ = 90.00°
Atoms (fractional coordinates):
Cs 0.0000 0.9869 0.4405
Cs 0.0000 0.4869 0.5595
K 0.5000 0.0220 0.0833
K 0.0000 0.3675 0.1700
K 0.5000 0.5220 0.9167
K 0.0000 0.8675 0.8300
Tl 0.5000 0.1506 0.7181
Tl 0.5000 0.6506 0.2819
Hg 0.0000 0.2404 0.8531
Hg 0.5000 0.2783 0.3868
Hg 0.0000 0.7404 0.1469
Hg 0.5000 0.7783 0.6132

Summary:
The value obtained for the calculated volume is 516.8 Å³/cell. The formation energy comes out at -0.95 eV/f.u.

---

[2]
The following is a DFT calculation (GGA-PBE) of a geometry-optimized ZrMo2Ir structure.

a = 5.0000 Å, b = 5.0000 Å, c = 5.0975 Å
α = 81.04°, β = 81.04°, γ = 32.96°
Atoms (fractional coordinates):
Ir 0.2659 0.2659 0.2800
Mo 0.9762 0.9762 0.9721
Mo 0.7389 0.7389 0.7862
Zr 0.5189 0.5189 0.4618

Summary:
The value obtained for the calculated volume is 68.4 Å³/cell. The formation energy comes out at -0.04 eV/f.u. As for the excess energy over the best structure of this formula in the dataset: 0.745 eV per formula unit.

---

[3]
The following is a DFT calculation (GGA-PBE) of a geometry-optimized NiSb4Os structure.

a = 6.4346 Å, b = 6.4073 Å, c = 6.4313 Å
α = 90.00°, β = 91.64°, γ = 90.00°
Atoms (fractional coordinates):
Ni 0.0000 0.0000 0.0000
Ni 0.5000 0.5000 0.0000
Sb 0.8729 0.6352 0.1270
Sb 0.6271 0.1352 0.8730
Sb 0.3647 0.3703 0.3666
Sb 0.1353 0.8703 0.6334
Sb 0.1271 0.3648 0.8730
Sb 0.3729 0.8648 0.1270
Sb 0.6353 0.6297 0.6334
Sb 0.8647 0.1297 0.3666
Os 0.5000 0.0000 0.5000
Os 0.0000 0.5000 0.5000

Summary:
The value obtained for the calculated volume is 265.0 Å³/cell. As for the formation energy from raw total energies: 0.3 eV/f.u. As for the excess energy over the best structure of this formula in the dataset: 0.000 eV per formula unit.

---

[4]
The following is a DFT calculation (GGA-PBE) of a geometry-optimized Tl8InAu2 structure.

a = 5.9199 Å, b = 8.2908 Å, c = 8.2908 Å
α = 67.17°, β = 71.13°, γ = 71.13°
Atoms (fractional coordinates):
Tl 0.9633 0.1806 0.5784
Tl 0.0367 0.4216 0.8194
Tl 0.4338 0.1441 0.1441
Tl 0.5662 0.8559 0.8559
Tl 0.9633 0.5784 0.1806
Tl 0.0367 0.8194 0.4216
Tl 0.4085 0.4033 0.4033
Tl 0.5915 0.5967 0.5967
In 0.0000 0.0000 0.0000
Au 0.8773 0.2229 0.2229
Au 0.1227 0.7771 0.7771

Summary:
The value obtained for the calculated volume is 345.6 Å³/cell. The formation energy comes out at 0.54 eV/f.u.

---

So what do the calculations give for VASP energy? Going down the list: -13.9; -39.1; -66.4; -27.7 eV per cell.
So what do the calculations give for spin magnetization? Going down the list: 0.00; 0.00; 0.00; 0.00 μB per cell.